LaRh2Se: relaxed, GGA-PBEsol.

Values from the calculation:
D(E_F): 0.6646 states/eV/atom
Formation energy from raw total energies: -0.48 eV per atom
Size of the total moment: 0.00 μB per formula unit
E_tot: -27.38 eV/f.u.

Geometry as POSCAR:
```
LaRh2Se
1.0
3.691 0.000 0.000
0.000 3.691 0.000
0.000 0.000 5.603
La Rh Se
1 2 1
direct
0.000 0.000 0.000
0.000 0.000 0.448
0.500 0.500 0.296
0.500 0.500 0.720
```

***

LaRhSe: relaxed, GGA-PBEsol.

Values from the calculation:
D(E_F): 0.1546 states/eV/atom
Formation energy from raw total energies: -1.31 eV per atom
Size of the total moment: 0.00 μB per formula unit
E_tot: -21.26 eV/f.u.

Geometry as POSCAR:
```
LaRhSe
1.0
4.317 0.000 0.000
-2.158 3.738 0.000
0.000 0.000 3.854
La Rh Se
1 1 1
direct
0.000 0.000 0.000
0.667 0.333 0.527
0.333 0.667 0.487
```

***

La2RhSe: relaxed, GGA-PBEsol.

Values from the calculation:
D(E_F): 0.6753 states/eV/atom
Formation energy from raw total energies: -1.03 eV per atom
Size of the total moment: 0.00 μB per formula unit
E_tot: -26.81 eV/f.u.

Geometry as POSCAR:
```
La2RhSe
1.0
3.876 0.000 0.000
0.000 4.307 0.000
0.000 0.000 11.145
La Rh Se
4 2 2
direct
0.000 0.000 0.000
0.000 0.500 0.232
0.500 0.000 0.732
0.500 0.500 0.500
0.000 0.500 0.743
0.500 0.000 0.243
0.000 0.000 0.440
0.500 0.500 0.940
```

***

LaRh2Se: relaxed, GGA-PBEsol.

Values from the calculation:
D(E_F): 0.8474 states/eV/atom
Formation energy from raw total energies: -0.29 eV per atom
Size of the total moment: 0.00 μB per formula unit
E_tot: -26.64 eV/f.u.

Geometry as POSCAR:
```
LaRh2Se
1.0
3.526 0.000 0.000
0.000 3.526 0.000
0.000 0.000 5.944
La Rh Se
1 2 1
direct
0.000 0.000 0.000
0.500 0.500 0.276
0.500 0.500 0.724
0.000 0.000 0.500
```

***

La2RhSe: relaxed, GGA-PBEsol.

Values from the calculation:
D(E_F): 0.5769 states/eV/atom
Formation energy from raw total energies: -1.15 eV per atom
Size of the total moment: 0.00 μB per formula unit
E_tot: -27.28 eV/f.u.

Geometry as POSCAR:
```
La2RhSe
1.0
3.577 0.000 0.000
0.000 3.577 0.000
0.000 0.000 7.328
La Rh Se
2 1 1
direct
0.000 0.000 0.234
0.000 0.000 0.766
0.500 0.500 0.000
0.500 0.500 0.500
```

***

LaSi2Rh: relaxed, GGA-PBEsol.

Values from the calculation:
D(E_F): 0.3837 states/eV/atom
Formation energy from raw total energies: -0.97 eV per atom
Size of the total moment: 0.00 μB per formula unit
E_tot: -28.87 eV/f.u.

Geometry as POSCAR:
```
LaSi2Rh
1.0
7.055 0.000 0.000
0.000 4.081 0.000
-2.360 0.000 5.224
La Si Rh
2 4 2
direct
0.000 0.000 0.000
0.500 0.500 0.000
0.207 0.000 0.622
0.293 0.500 0.378
0.707 0.500 0.622
0.793 0.000 0.378
0.000 0.500 0.500
0.500 0.000 0.500
```

***

La3Si2Rh3: relaxed, GGA-PBEsol.

Values from the calculation:
D(E_F): 0.6098 states/eV/atom
Formation energy from raw total energies: -0.93 eV per atom
Size of the total moment: 0.00 μB per formula unit
E_tot: -59.37 eV/f.u.

Geometry as POSCAR:
```
La3Si2Rh3
1.0
7.734 0.000 0.000
0.000 14.841 0.000
0.000 0.000 5.789
La Si Rh
12 8 12
direct
0.024 0.108 0.143
0.024 0.392 0.143
0.163 0.250 0.611
0.337 0.750 0.111
0.476 0.608 0.643
0.476 0.892 0.643
0.524 0.108 0.357
0.524 0.392 0.357
0.663 0.250 0.889
0.837 0.750 0.389
0.976 0.608 0.857
0.976 0.892 0.857
0.129 0.596 0.361
0.129 0.904 0.361
0.371 0.096 0.861
0.371 0.404 0.861
0.629 0.596 0.139
0.629 0.904 0.139
0.871 0.096 0.639
0.871 0.404 0.639
0.160 0.037 0.601
0.160 0.463 0.601
0.183 0.750 0.557
0.317 0.250 0.057
0.340 0.537 0.101
0.340 0.963 0.101
0.660 0.037 0.899
0.660 0.463 0.899
0.683 0.750 0.943
0.817 0.250 0.443
0.840 0.537 0.399
0.840 0.963 0.399
```

***

La2SiRh: relaxed, GGA-PBEsol.

Values from the calculation:
D(E_F): 1.0159 states/eV/atom
Formation energy from raw total energies: -0.74 eV per atom
Size of the total moment: 0.00 μB per formula unit
E_tot: -27.52 eV/f.u.

Geometry as POSCAR:
```
La2SiRh
1.0
4.154 0.000 0.000
0.000 4.381 0.000
0.000 0.000 10.497
La Si Rh
4 2 2
direct
0.000 0.000 0.000
0.000 0.500 0.500
0.500 0.000 0.288
0.500 0.500 0.788
0.500 0.000 0.586
0.500 0.500 0.086
0.000 0.000 0.718
0.000 0.500 0.218
```

***

La2SiRh: relaxed, GGA-PBEsol.

Values from the calculation:
D(E_F): 0.6898 states/eV/atom
Formation energy from raw total energies: -0.68 eV per atom
Size of the total moment: 0.00 μB per formula unit
E_tot: -27.29 eV/f.u.

Geometry as POSCAR:
```
La2SiRh
1.0
3.677 0.000 0.000
0.000 4.489 0.000
0.000 0.000 11.200
La Si Rh
4 2 2
direct
0.000 0.000 0.000
0.000 0.500 0.216
0.500 0.000 0.716
0.500 0.500 0.500
0.000 0.500 0.808
0.500 0.000 0.308
0.000 0.000 0.450
0.500 0.500 0.950
```

***

LaSiRh: relaxed, GGA-PBEsol.

Values from the calculation:
D(E_F): 0.9899 states/eV/atom
Formation energy from raw total energies: 0.39 eV per atom
Size of the total moment: 0.00 μB per formula unit
E_tot: -18.07 eV/f.u.

Geometry as POSCAR:
```
LaSiRh
1.0
6.596 0.000 0.000
0.000 6.596 0.000
0.000 0.000 6.596
La Si Rh
4 4 4
direct
0.000 0.000 0.000
0.000 0.500 0.500
0.500 0.000 0.500
0.500 0.500 0.000
0.250 0.250 0.250
0.250 0.750 0.750
0.750 0.250 0.750
0.750 0.750 0.250
0.250 0.250 0.750
0.250 0.750 0.250
0.750 0.250 0.250
0.750 0.750 0.750
```

***

La2SiRh: relaxed, GGA-PBEsol.

Values from the calculation:
D(E_F): 0.9821 states/eV/atom
Formation energy from raw total energies: -0.70 eV per atom
Size of the total moment: 0.02 μB per formula unit
E_tot: -27.36 eV/f.u.

Geometry as POSCAR:
```
La2SiRh
1.0
4.217 0.000 0.000
-2.109 3.652 0.000
0.000 0.000 22.075
La Si Rh
6 3 3
direct
0.000 0.000 0.000
0.000 0.000 0.167
0.333 0.667 0.667
0.333 0.667 0.834
0.667 0.333 0.333
0.667 0.333 0.500
0.000 0.000 0.755
0.333 0.667 0.421
0.667 0.333 0.088
0.000 0.000 0.410
0.333 0.667 0.077
0.667 0.333 0.744
```

***

LaSi2Rh: relaxed, GGA-PBEsol.

Values from the calculation:
D(E_F): 0.6670 states/eV/atom
Formation energy from raw total energies: -0.08 eV per atom
Size of the total moment: 0.00 μB per formula unit
E_tot: -25.30 eV/f.u.

Geometry as POSCAR:
```
LaSi2Rh
1.0
3.089 0.000 0.000
-1.544 2.675 0.000
0.000 0.000 25.827
La Si Rh
3 6 3
direct
0.000 0.000 0.000
0.333 0.667 0.667
0.667 0.333 0.333
0.000 0.000 0.234
0.000 0.000 0.494
0.333 0.667 0.161
0.333 0.667 0.901
0.667 0.333 0.567
0.667 0.333 0.827
0.000 0.000 0.766
0.333 0.667 0.433
0.667 0.333 0.099
```

***

LaSi2Rh2: relaxed, GGA-PBEsol.

Values from the calculation:
D(E_F): 0.5033 states/eV/atom
Formation energy from raw total energies: -1.11 eV per atom
Size of the total moment: 0.00 μB per formula unit
E_tot: -38.68 eV/f.u.

Geometry as POSCAR:
```
LaSi2Rh2
1.0
4.090 0.000 0.000
0.000 4.090 0.000
0.000 0.000 10.215
La Si Rh
2 4 4
direct
0.000 0.000 0.000
0.500 0.500 0.500
0.000 0.000 0.373
0.000 0.000 0.627
0.500 0.500 0.127
0.500 0.500 0.873
0.000 0.500 0.250
0.000 0.500 0.750
0.500 0.000 0.250
0.500 0.000 0.750
```

***

LaSiRh: relaxed, GGA-PBEsol.

Values from the calculation:
D(E_F): 0.9944 states/eV/atom
Formation energy from raw total energies: -0.88 eV per atom
Size of the total moment: 0.00 μB per formula unit
E_tot: -21.87 eV/f.u.

Geometry as POSCAR:
```
LaSiRh
1.0
4.124 0.000 0.000
-2.062 3.572 0.000
0.000 0.000 4.293
La Si Rh
1 1 1
direct
0.000 0.000 0.000
0.667 0.333 0.500
0.333 0.667 0.500
```

***

LaSiRh: relaxed, GGA-PBEsol.

Values from the calculation:
D(E_F): 0.3694 states/eV/atom
Formation energy from raw total energies: -0.96 eV per atom
Size of the total moment: 0.00 μB per formula unit
E_tot: -22.12 eV/f.u.

Geometry as POSCAR:
```
LaSiRh
1.0
6.330 0.000 0.000
0.000 6.330 0.000
0.000 0.000 6.330
La Si Rh
4 4 4
direct
0.137 0.137 0.137
0.363 0.863 0.637
0.637 0.363 0.863
0.863 0.637 0.363
0.161 0.339 0.661
0.339 0.661 0.161
0.661 0.161 0.339
0.839 0.839 0.839
0.076 0.576 0.924
0.424 0.424 0.424
0.576 0.924 0.076
0.924 0.076 0.576
```

***

LaSi2Rh: relaxed, GGA-PBEsol.

Values from the calculation:
D(E_F): 0.3674 states/eV/atom
Formation energy from raw total energies: -0.63 eV per atom
Size of the total moment: 0.00 μB per formula unit
E_tot: -27.50 eV/f.u.

Geometry as POSCAR:
```
LaSi2Rh
1.0
3.527 0.000 0.000
0.000 3.871 0.000
0.000 0.000 5.577
La Si Rh
1 2 1
direct
0.000 0.000 0.000
0.500 0.000 0.518
0.500 0.500 0.258
0.000 0.500 0.538
```

***

La4SiRh: relaxed, GGA-PBEsol.

Values from the calculation:
D(E_F): 1.4500 states/eV/atom
Formation energy from raw total energies: 0.50 eV per atom
Size of the total moment: 0.00 μB per formula unit
E_tot: -32.24 eV/f.u.

Geometry as POSCAR:
```
La4SiRh
1.0
0.000 4.290 4.290
4.290 0.000 4.290
4.290 4.290 0.000
La Si Rh
4 1 1
direct
0.125 0.125 0.125
0.125 0.125 0.626
0.125 0.626 0.125
0.626 0.125 0.125
0.750 0.750 0.750
0.500 0.500 0.500
```

***

LaSn2Rh: relaxed, GGA-PBEsol.

Values from the calculation:
D(E_F): 0.4011 states/eV/atom
Size of the total moment: 0.00 μB per formula unit
Formation energy: -77 kJ per mole of atoms
E_tot: -25.19 eV/f.u.

Geometry as POSCAR:
```
LaSn2Rh
1.0
4.453 0.000 0.000
0.000 11.197 0.000
0.000 0.000 7.330
La Sn Rh
4 8 4
direct
0.000 0.069 0.250
0.000 0.931 0.750
0.500 0.431 0.750
0.500 0.569 0.250
0.000 0.353 0.045
0.000 0.353 0.455
0.000 0.647 0.545
0.000 0.647 0.955
0.500 0.147 0.545
0.500 0.147 0.955
0.500 0.853 0.045
0.500 0.853 0.455
0.000 0.200 0.750
0.000 0.800 0.250
0.500 0.300 0.250
0.500 0.700 0.750
```

***

SrLa2Rh: relaxed, GGA-PBEsol.

Values from the calculation:
D(E_F): 0.9329 states/eV/atom
Distance to the lowest polymorph of the same formula: 478 meV/atom
Size of the total moment: 0.00 μB per formula unit
Formation energy: 13 kJ per mole of atoms
E_tot: -20.13 eV/f.u.

Geometry as POSCAR:
```
SrLa2Rh
1.0
4.451 0.000 0.000
0.000 4.451 0.000
0.000 0.000 10.767
Sr La Rh
2 4 2
direct
0.000 0.000 0.000
0.500 0.500 0.500
0.000 0.500 0.250
0.000 0.500 0.750
0.500 0.000 0.250
0.500 0.000 0.750
0.000 0.000 0.500
0.500 0.500 0.000
```

***

Sr2LaRh: relaxed, GGA-PBEsol.

Values from the calculation:
D(E_F): 0.7110 states/eV/atom
Distance to the lowest polymorph of the same formula: 0 meV/atom
Size of the total moment: 0.00 μB per formula unit
Formation energy: -24 kJ per mole of atoms
E_tot: -18.18 eV/f.u.

Geometry as POSCAR:
```
Sr2LaRh
1.0
3.871 0.000 0.000
0.000 4.164 0.000
0.000 0.000 17.871
Sr La Rh
4 2 2
direct
0.000 0.000 0.000
0.000 0.500 0.500
0.500 0.000 0.320
0.500 0.500 0.820
0.000 0.000 0.668
0.000 0.500 0.168
0.500 0.000 0.147
0.500 0.500 0.647
```

***

SrLa2Rh: relaxed, GGA-PBEsol.

Values from the calculation:
D(E_F): 1.1111 states/eV/atom
Distance to the lowest polymorph of the same formula: 494 meV/atom
Size of the total moment: 0.00 μB per formula unit
Formation energy: 15 kJ per mole of atoms
E_tot: -20.06 eV/f.u.

Geometry as POSCAR:
```
SrLa2Rh
1.0
7.497 0.000 0.000
0.000 7.497 0.000
0.000 0.000 7.497
Sr La Rh
4 8 4
direct
0.000 0.000 0.000
0.000 0.500 0.500
0.500 0.000 0.500
0.500 0.500 0.000
0.000 0.000 0.500
0.000 0.500 0.000
0.250 0.250 0.250
0.250 0.750 0.750
0.500 0.000 0.000
0.500 0.500 0.500
0.750 0.250 0.750
0.750 0.750 0.250
0.250 0.250 0.750
0.250 0.750 0.250
0.750 0.250 0.250
0.750 0.750 0.750
```

***

SrLa2Rh: relaxed, GGA-PBEsol.

Values from the calculation:
D(E_F): 1.1318 states/eV/atom
Distance to the lowest polymorph of the same formula: 0 meV/atom
Size of the total moment: 0.00 μB per formula unit
Formation energy: -33 kJ per mole of atoms
E_tot: -22.04 eV/f.u.

Geometry as POSCAR:
```
SrLa2Rh
1.0
4.132 0.000 0.000
-2.066 3.579 0.000
0.000 0.000 29.879
Sr La Rh
3 6 3
direct
0.000 0.000 0.000
0.333 0.667 0.667
0.667 0.333 0.333
0.000 0.000 0.217
0.000 0.000 0.783
0.333 0.667 0.449
0.333 0.667 0.884
0.667 0.333 0.116
0.667 0.333 0.551
0.000 0.000 0.500
0.333 0.667 0.167
0.667 0.333 0.833
```

***

Sr2LaRh: relaxed, GGA-PBEsol.

Values from the calculation:
D(E_F): 0.4912 states/eV/atom
Distance to the lowest polymorph of the same formula: 3 meV/atom
Size of the total moment: 0.00 μB per formula unit
Formation energy: -24 kJ per mole of atoms
E_tot: -18.17 eV/f.u.

Geometry as POSCAR:
```
Sr2LaRh
1.0
7.171 0.000 0.000
0.000 4.137 0.000
-2.364 0.000 10.233
Sr La Rh
4 2 2
direct
0.000 0.000 0.000
0.215 0.000 0.650
0.500 0.500 0.000
0.715 0.500 0.650
0.436 0.000 0.313
0.936 0.500 0.313
0.227 0.500 0.183
0.727 0.000 0.183
```

***

LaTaRh2: relaxed, GGA-PBEsol.

Values from the calculation:
D(E_F): 0.7779 states/eV/atom
Size of the total moment: 0.00 μB per formula unit
Formation energy: -47 kJ per mole of atoms
E_tot: -36.12 eV/f.u.

Geometry as POSCAR:
```
LaTaRh2
1.0
3.148 0.000 0.000
0.000 3.148 0.000
0.000 0.000 7.528
La Ta Rh
1 1 2
direct
0.000 0.000 0.000
0.000 0.000 0.500
0.500 0.500 0.306
0.500 0.500 0.694
```

***

LaTa2TiRh: relaxed, GGA-PBEsol.

Values from the calculation:
D(E_F): 1.6676 states/eV/atom
Size of the total moment: 1.26 μB per formula unit
Formation energy: 98 kJ per mole of atoms
E_tot: -41.81 eV/f.u.

Geometry as POSCAR:
```
LaTa2TiRh
1.0
4.813 0.000 0.000
0.000 4.813 0.000
0.000 0.000 5.283
La Ta Ti Rh
1 2 1 1
direct
0.000 0.000 0.000
0.000 0.500 0.500
0.500 0.000 0.500
0.500 0.500 0.000
0.000 0.000 0.500
```

***

LaY2TaRh: relaxed, GGA-PBEsol.

Values from the calculation:
D(E_F): 1.5313 states/eV/atom
Size of the total moment: 0.00 μB per formula unit
Formation energy: 156 kJ per mole of atoms
E_tot: -31.62 eV/f.u.

Geometry as POSCAR:
```
LaY2TaRh
1.0
5.274 0.000 0.000
0.000 5.274 0.000
0.000 0.000 4.853
La Y Ta Rh
1 2 1 1
direct
0.000 0.000 0.000
0.000 0.500 0.000
0.500 0.000 0.000
0.000 0.000 0.500
0.500 0.500 0.500
```

***

La2TcRh: relaxed, GGA-PBEsol.

Values from the calculation:
D(E_F): 1.1992 states/eV/atom
Distance to the lowest polymorph of the same formula: 0 meV/atom
Size of the total moment: 0.00 μB per formula unit
Formation energy: -3 kJ per mole of atoms
E_tot: -30.22 eV/f.u.

Geometry as POSCAR:
```
La2TcRh
1.0
3.539 0.000 0.000
0.000 3.539 0.000
0.000 0.000 6.908
La Tc Rh
2 1 1
direct
0.000 0.000 0.249
0.000 0.000 0.751
0.500 0.500 0.500
0.500 0.500 0.000
```

***

La2TcRh: relaxed, GGA-PBEsol.

Values from the calculation:
D(E_F): 0.8386 states/eV/atom
Distance to the lowest polymorph of the same formula: 30 meV/atom
Size of the total moment: 0.00 μB per formula unit
Formation energy: 0 kJ per mole of atoms
E_tot: -30.10 eV/f.u.

Geometry as POSCAR:
```
La2TcRh
1.0
10.764 0.000 0.000
0.000 3.390 0.000
-1.465 0.000 4.606
La Tc Rh
4 2 2
direct
0.000 0.000 0.000
0.228 0.000 0.747
0.500 0.500 0.000
0.728 0.500 0.747
0.468 0.000 0.442
0.968 0.500 0.442
0.262 0.500 0.314
0.762 0.000 0.314
```